(1)
# Nb8GaAs2 (PBE-GGA, relaxed)
# Magnetization ... 0.00 μB per formula unit
# Formation enthalpy at 0 K ... -161 meV/atom
data_Nb8GaAs2
_chemical_formula_sum 'Nb8 Ga1 As2'
_space_group_name_H-M_alt 'P 1'
_space_group_IT_number 1
_cell_length_a 6.838
_cell_length_b 6.838
_cell_length_c 4.954
_cell_angle_alpha 100.30
_cell_angle_beta 100.30
_cell_angle_gamma 113.21
loop_
_space_group_symop_operation_xyz
'x,y,z'
loop_
_atom_site_label
_atom_site_type_symbol
_atom_site_fract_x
_atom_site_fract_y
_atom_site_fract_z
Nb1 Nb 0.087 0.320 0.613
Nb2 Nb 0.240 0.760 0.000
Nb3 Nb 0.320 0.087 0.613
Nb4 Nb 0.380 0.380 0.162
Nb5 Nb 0.620 0.620 0.838
Nb6 Nb 0.680 0.913 0.387
Nb7 Nb 0.760 0.240 0.000
Nb8 Nb 0.913 0.680 0.387
Ga1 Ga 0.000 0.000 0.000
As1 As 0.315 0.685 0.500
As2 As 0.685 0.315 0.500

(2)
# Nb2Ga2As (PBE-GGA, relaxed)
# Magnetization ... 0.00 μB per formula unit
# Polymorph energy (0 for the lowest one) ... 0 kJ/mol of formula units
# Formation enthalpy at 0 K ... -246 meV/atom
data_Nb2Ga2As
_chemical_formula_sum 'Nb4 Ga4 As2'
_space_group_name_H-M_alt 'P 1'
_space_group_IT_number 1
_cell_length_a 6.789
_cell_length_b 6.789
_cell_length_c 3.922
_cell_angle_alpha 90.00
_cell_angle_beta 90.00
_cell_angle_gamma 90.00
loop_
_space_group_symop_operation_xyz
'x,y,z'
loop_
_atom_site_label
_atom_site_type_symbol
_atom_site_fract_x
_atom_site_fract_y
_atom_site_fract_z
Nb1 Nb 0.164 0.336 0.000
Nb2 Nb 0.336 0.836 0.000
Nb3 Nb 0.664 0.164 0.000
Nb4 Nb 0.836 0.664 0.000
Ga1 Ga 0.138 0.638 0.500
Ga2 Ga 0.362 0.138 0.500
Ga3 Ga 0.638 0.862 0.500
Ga4 Ga 0.862 0.362 0.500
As1 As 0.000 0.000 0.000
As2 As 0.500 0.500 0.000

(3)
# Nb2GaAs (PBE-GGA, relaxed)
# Magnetization ... 0.00 μB per formula unit
# Polymorph energy (0 for the lowest one) ... 1 kJ/mol of formula units
# Formation enthalpy at 0 K ... -152 meV/atom
data_Nb2GaAs
_chemical_formula_sum 'Nb2 Ga1 As1'
_space_group_name_H-M_alt 'P 1'
_space_group_IT_number 1
_cell_length_a 6.486
_cell_length_b 6.486
_cell_length_c 6.486
_cell_angle_alpha 33.38
_cell_angle_beta 33.38
_cell_angle_gamma 33.38
loop_
_space_group_symop_operation_xyz
'x,y,z'
loop_
_atom_site_label
_atom_site_type_symbol
_atom_site_fract_x
_atom_site_fract_y
_atom_site_fract_z
Nb1 Nb 0.244 0.244 0.244
Nb2 Nb 0.756 0.756 0.756
Ga1 Ga 0.000 0.000 0.000
As1 As 0.500 0.500 0.500

(4)
# NbGa3As (PBE-GGA, relaxed)
# Magnetization ... 0.00 μB per formula unit
# Polymorph energy (0 for the lowest one) ... 0 kJ/mol of formula units
# Formation enthalpy at 0 K ... 780 meV/atom
data_NbGa3As
_chemical_formula_sum 'Nb1 Ga3 As1'
_space_group_name_H-M_alt 'P 1'
_space_group_IT_number 1
_cell_length_a 5.051
_cell_length_b 5.051
_cell_length_c 5.051
_cell_angle_alpha 90.00
_cell_angle_beta 90.00
_cell_angle_gamma 90.00
loop_
_space_group_symop_operation_xyz
'x,y,z'
loop_
_atom_site_label
_atom_site_type_symbol
_atom_site_fract_x
_atom_site_fract_y
_atom_site_fract_z
Nb1 Nb 0.000 0.000 0.000
Ga1 Ga 0.000 0.000 0.500
Ga2 Ga 0.000 0.500 0.000
Ga3 Ga 0.500 0.000 0.000
As1 As 0.500 0.500 0.500

(5)
# Nb2Ga2As (PBE-GGA, relaxed)
# Magnetization ... 0.00 μB per formula unit
# Polymorph energy (0 for the lowest one) ... 134 kJ/mol of formula units
# Formation enthalpy at 0 K ... 32 meV/atom
data_Nb2Ga2As
_chemical_formula_sum 'Nb4 Ga4 As2'
_space_group_name_H-M_alt 'P 1'
_space_group_IT_number 1
_cell_length_a 6.885
_cell_length_b 6.885
_cell_length_c 3.646
_cell_angle_alpha 90.00
_cell_angle_beta 90.00
_cell_angle_gamma 90.00
loop_
_space_group_symop_operation_xyz
'x,y,z'
loop_
_atom_site_label
_atom_site_type_symbol
_atom_site_fract_x
_atom_site_fract_y
_atom_site_fract_z
Nb1 Nb 0.177 0.323 0.000
Nb2 Nb 0.323 0.823 0.000
Nb3 Nb 0.677 0.177 0.000
Nb4 Nb 0.823 0.677 0.000
Ga1 Ga 0.126 0.626 0.500
Ga2 Ga 0.374 0.126 0.500
Ga3 Ga 0.626 0.874 0.500
Ga4 Ga 0.874 0.374 0.500
As1 As 0.000 0.000 0.500
As2 As 0.500 0.500 0.500

(6)
# Nb4GaAs (PBE-GGA, relaxed)
# Magnetization ... 0.00 μB per formula unit
# Formation enthalpy at 0 K ... -209 meV/atom
data_Nb4GaAs
_chemical_formula_sum 'Nb8 Ga2 As2'
_space_group_name_H-M_alt 'P 1'
_space_group_IT_number 1
_cell_length_a 6.837
_cell_length_b 6.837
_cell_length_c 5.337
_cell_angle_alpha 101.79
_cell_angle_beta 101.79
_cell_angle_gamma 113.27
loop_
_space_group_symop_operation_xyz
'x,y,z'
loop_
_atom_site_label
_atom_site_type_symbol
_atom_site_fract_x
_atom_site_fract_y
_atom_site_fract_z
Nb1 Nb 0.075 0.693 0.922
Nb2 Nb 0.203 0.403 0.638
Nb3 Nb 0.307 0.925 0.578
Nb4 Nb 0.403 0.203 0.138
Nb5 Nb 0.597 0.797 0.862
Nb6 Nb 0.693 0.075 0.422
Nb7 Nb 0.797 0.597 0.362
Nb8 Nb 0.925 0.307 0.078
Ga1 Ga 0.387 0.613 0.250
Ga2 Ga 0.613 0.387 0.750
As1 As 0.012 0.988 0.250
As2 As 0.988 0.012 0.750